# 1
# SrTl2Re | Alexandria via LeMat-Bulk | PBE-GGA | optimized geometry
# DOS at the Fermi energy (states/eV per atom): 0.8136
# DFT formation energy (eV/atom): 0.677
# Energy (eV/atom): -4.04
# Space group: Immm
# E above lowest polymorph (meV/atom): 106.0
data_SrTl2Re
_symmetry_space_group_name_H-M 'P 1'
_symmetry_Int_Tables_number 1
_symmetry_space_group_name_Hall 'P 1'
_cell_length_a 5.820
_cell_length_b 5.820
_cell_length_c 5.820
_cell_angle_alpha 140.08
_cell_angle_beta 124.62
_cell_angle_gamma 70.43
loop_
_atom_site_label
_atom_site_type_symbol
_atom_site_fract_x
_atom_site_fract_y
_atom_site_fract_z
Sr1 Sr 0.000 0.000 0.000
Tl1 Tl 0.284 0.784 0.500
Tl2 Tl 0.716 0.216 0.500
Re1 Re 0.500 0.500 0.000

=====

# 2
# Mg2ScVTc | Alexandria via LeMat-Bulk | PBE-GGA | optimized geometry
# DOS at the Fermi energy (states/eV per atom): 2.0939
# DFT formation energy (eV/atom): 1.599
# Energy (eV/atom): -4.20
# Space group: P4/mmm
data_Mg2ScVTc
_symmetry_space_group_name_H-M 'P 1'
_symmetry_Int_Tables_number 1
_symmetry_space_group_name_Hall 'P 1'
_cell_length_a 5.151
_cell_length_b 5.151
_cell_length_c 4.380
_cell_angle_alpha 90.00
_cell_angle_beta 90.00
_cell_angle_gamma 90.00
loop_
_atom_site_label
_atom_site_type_symbol
_atom_site_fract_x
_atom_site_fract_y
_atom_site_fract_z
Mg1 Mg 0.000 0.500 0.000
Mg2 Mg 0.500 0.000 0.000
Sc1 Sc 0.000 0.000 0.000
V1 V 0.500 0.500 0.500
Tc1 Tc 0.000 0.000 0.500

=====

# 3
# TlGaPtSe | Alexandria via LeMat-Bulk | PBE-GGA | optimized geometry
# DOS at the Fermi energy (states/eV per atom): 0.2305
# Energy (eV/atom): -4.03
# Space group: I4mm
# Formation energy (no corrections) (eV per atom): -0.30
# E above lowest polymorph (meV/atom): 17.5
data_TlGaPtSe
_symmetry_space_group_name_H-M 'P 1'
_symmetry_Int_Tables_number 1
_symmetry_space_group_name_Hall 'P 1'
_cell_length_a 7.074
_cell_length_b 7.074
_cell_length_c 7.074
_cell_angle_alpha 149.64
_cell_angle_beta 149.64
_cell_angle_gamma 43.47
loop_
_atom_site_label
_atom_site_type_symbol
_atom_site_fract_x
_atom_site_fract_y
_atom_site_fract_z
Tl1 Tl 0.000 0.000 0.000
Ga1 Ga 0.297 0.297 0.000
Pt1 Pt 0.793 0.793 0.000
Se1 Se 0.602 0.602 0.000

=====

# 4
# SmDyTh2 | Alexandria via LeMat-Bulk | PBE-GGA | optimized geometry
# DOS at the Fermi energy (states/eV per atom): 1.6987
# DFT formation energy (eV/atom): 0.030
# Energy (eV/atom): -6.01
# Space group: P2_1/m
# E above lowest polymorph (meV/atom): 0.0
data_SmDyTh2
_symmetry_space_group_name_H-M 'P 1'
_symmetry_Int_Tables_number 1
_symmetry_space_group_name_Hall 'P 1'
_cell_length_a 5.057
_cell_length_b 5.077
_cell_length_c 10.141
_cell_angle_alpha 90.00
_cell_angle_beta 90.11
_cell_angle_gamma 90.00
loop_
_atom_site_label
_atom_site_type_symbol
_atom_site_fract_x
_atom_site_fract_y
_atom_site_fract_z
Sm1 Sm 0.000 0.250 0.131
Sm2 Sm 0.000 0.750 0.869
Dy1 Dy 0.500 0.250 0.869
Dy2 Dy 0.500 0.750 0.131
Th1 Th 0.000 0.250 0.622
Th2 Th 0.000 0.750 0.378
Th3 Th 0.500 0.250 0.379
Th4 Th 0.500 0.750 0.621

=====

- Number 2 is which compound?
  Mg2ScVTc

=====

- What is the energy in the fourth record?
  -6.01 eV/atom

=====

Repeat the fourth record exactly.
# SmDyTh2 | Alexandria via LeMat-Bulk | PBE-GGA | optimized geometry
# DOS at the Fermi energy (states/eV per atom): 1.6987
# DFT formation energy (eV/atom): 0.030
# Energy (eV/atom): -6.01
# Space group: P2_1/m
# E above lowest polymorph (meV/atom): 0.0
data_SmDyTh2
_symmetry_space_group_name_H-M 'P 1'
_symmetry_Int_Tables_number 1
_symmetry_space_group_name_Hall 'P 1'
_cell_length_a 5.057
_cell_length_b 5.077
_cell_length_c 10.141
_cell_angle_alpha 90.00
_cell_angle_beta 90.11
_cell_angle_gamma 90.00
loop_
_atom_site_label
_atom_site_type_symbol
_atom_site_fract_x
_atom_site_fract_y
_atom_site_fract_z
Sm1 Sm 0.000 0.250 0.131
Sm2 Sm 0.000 0.750 0.869
Dy1 Dy 0.500 0.250 0.869
Dy2 Dy 0.500 0.750 0.131
Th1 Th 0.000 0.250 0.622
Th2 Th 0.000 0.750 0.378
Th3 Th 0.500 0.250 0.379
Th4 Th 0.500 0.750 0.621

=====

- Which value of DOS at the Fermi energy does entry 4 give?
  1.6987 states/eV per atom